Record 1
Compound: NpMoS4
Source: Alexandria via LeMat-Bulk
Functional: PBE
Structure: relaxed

Unit cell a=7.3879 b=5.7922 c=7.0472 alpha=90.00 beta=118.18 gamma=90.00
Fractional coordinates of all 12 atoms:
Np  0.0000  0.0000  0.0000
Np  0.0000  0.5000  0.5000
Mo  0.5000  0.0000  0.0000
Mo  0.5000  0.5000  0.5000
S  0.2010  0.2397  0.8473
S  0.2010  0.2603  0.3473
S  0.3482  0.7418  0.6746
S  0.3482  0.7582  0.1746
S  0.6518  0.2418  0.8254
S  0.6518  0.2582  0.3254
S  0.7990  0.7397  0.6527
S  0.7990  0.7603  0.1527

Properties
As for the uncorrected formation energy: -0.767 eV/atom. As for the symmetry: P2_1/c, No. 14.



Record 2
Compound: Nd2Y3Th
Source: Alexandria via LeMat-Bulk
Functional: PBE
Structure: relaxed

Unit cell a=9.5586 b=9.5586 c=9.5586 alpha=148.86 beta=116.15 gamma=72.75
Fractional coordinates of all 12 atoms:
Nd  0.0823  0.3323  0.7500
Nd  0.2512  0.0012  0.2500
Nd  0.7488  0.9988  0.7500
Nd  0.9177  0.6677  0.2500
Y  0.0000  0.5000  0.5000
Y  0.1762  0.1681  0.0081
Y  0.3400  0.8319  0.5081
Y  0.5000  0.5000  0.0000
Y  0.6600  0.1681  0.4919
Y  0.8238  0.8319  0.9919
Th  0.4180  0.6680  0.7500
Th  0.5820  0.3320  0.2500

Properties
For the relative energy among the computed polymorphs, the calculation gives 0 meV/atom. The formation energy comes out at 0.025 eV per atom. As for the symmetry: Imma, No. 74.



Record 3
Compound: CaZrAs
Source: Alexandria via LeMat-Bulk
Functional: PBE
Structure: relaxed

Unit cell a=5.7311 b=5.7311 c=7.1830 alpha=93.46 beta=93.46 gamma=38.46
Fractional coordinates of all 6 atoms:
Ca  0.0000  0.0000  0.0000
Ca  0.7453  0.7453  0.2627
Zr  0.4200  0.4200  0.6026
Zr  0.6905  0.6905  0.7093
As  0.0661  0.0661  0.4346
As  0.2860  0.2860  0.9489

Properties
For the relative energy among the computed polymorphs, the calculation gives 248 meV/atom. The formation energy comes out at -0.675 eV per atom. As for the symmetry: Cm, No. 8.



Record 4
Compound: CdSi2Au
Source: Alexandria via LeMat-Bulk
Functional: PBE
Structure: relaxed

Unit cell a=2.8076 b=3.4433 c=7.4637 alpha=90.00 beta=90.00 gamma=90.00
Fractional coordinates of all 4 atoms:
Cd  0.0000  0.0000  0.0000
Si  0.0000  0.0000  0.4860
Si  0.5000  0.5000  0.2983
Au  0.5000  0.5000  0.7225

Properties
As for the uncorrected formation energy: 0.275 eV/atom. As for the symmetry: Pmm2, No. 25.